A plane-wave DFT calculation with PBE was carried out for a relaxed structure of KPrSe2.

a b c (Å): 3.766 3.766 8.024
angles (deg): 90.00 90.00 90.00
Element x y z (fractional)
K 0.000 0.000 0.000
Pr 0.000 0.000 0.500
Se 0.500 0.500 0.286
Se 0.500 0.500 0.714

Output
* E: -4.73 eV/atom
* total magnetization: 0.0 μB per formula unit
* space group: P4/mmm (123)
* V: 113.8 Å³ per cell


A plane-wave DFT calculation with PBE was carried out for a relaxed structure of PSeN2.

a b c (Å): 5.586 5.586 5.586
angles (deg): 90.00 90.00 90.00
Element x y z (fractional)
P 0.000 0.000 0.000
P 0.000 0.500 0.500
P 0.500 0.000 0.500
P 0.500 0.500 0.000
Se 0.000 0.000 0.500
Se 0.000 0.500 0.000
Se 0.500 0.000 0.000
Se 0.500 0.500 0.500
N 0.250 0.250 0.250
N 0.250 0.250 0.750
N 0.250 0.750 0.250
N 0.250 0.750 0.750
N 0.750 0.250 0.250
N 0.750 0.250 0.750
N 0.750 0.750 0.250
N 0.750 0.750 0.750

Output
* energy relative to the lowest polymorph listed for this composition: 157.8 kJ/mol of atoms
* E: -4.34 eV/atom
* total magnetization: 0.0 μB per formula unit
* space group: Fm-3m (225)
* V: 174.3 Å³ per cell